{"formula": "NiAgBi2Ir", "functional": "PBE", "state": "relaxed", "ef_ev_per_atom": 0.947, "density_g_cm3": 9.33, "cell": [[-4.9027, -1.6146, -0.1921], [1.1116, -3.7738, 3.3471], [-1.1900, 3.1447, 3.9408]], "species": ["Bi", "Bi", "Ni", "Ag", "Ir"], "fractional_positions": [[0.5000, 0.0000, 0.0000], [0.0000, 0.5000, 0.0000], [0.5000, 0.5000, 0.5000], [0.0000, 0.0000, 0.5000], [0.0000, 0.0000, 0.0000]]}

{"formula": "AgBi2IrRh", "functional": "PBE", "state": "relaxed", "ef_ev_per_atom": 1.545, "density_g_cm3": 10.06, "cell": [[-3.5800, 0.9247, 3.7323], [-3.5220, -1.7253, -2.9508], [0.7561, -4.8307, 1.9220]], "species": ["Ir", "Bi", "Bi", "Rh", "Ag"], "fractional_positions": [[0.0000, 0.5000, 0.0000], [0.0000, 0.0000, 0.5000], [0.5000, 0.0000, 0.0000], [0.5000, 0.5000, 0.5000], [0.0000, 0.0000, 0.0000]]}

Across the entries above, size of the total moment takes the values 0.4 0.9 μB per formula unit, respectively.